# 1
A plane-wave DFT calculation with PBE-GGA was carried out for a relaxed structure of TbTm6Tl5.

Cell: 9.0520 9.0520 9.0520 Å, 148.16 122.39 67.34°
Atoms (fractional coordinates):
Tb 0.0000 0.0000 0.0000
Tm 0.0949 0.8303 0.2646
Tm 0.2760 0.5000 0.7760
Tm 0.4343 0.1697 0.2646
Tm 0.5657 0.8303 0.7354
Tm 0.7240 0.5000 0.2240
Tm 0.9051 0.1697 0.7354
Tl 0.1470 0.6470 0.5000
Tl 0.3187 0.3187 0.0000
Tl 0.5000 0.0000 0.5000
Tl 0.6813 0.6813 0.0000
Tl 0.8530 0.3530 0.5000

Properties
DFT formation energy (eV per atom): -0.243


# 2
A plane-wave DFT calculation with PBE-GGA was carried out for a relaxed structure of LiNpZnGe.

Cell: 4.7885 4.7885 4.7885 Å, 60.00 60.00 60.00°
Atoms (fractional coordinates):
Li 0.0000 0.0000 0.0000
Np 0.5000 0.5000 0.5000
Zn 0.2500 0.2500 0.2500
Ge 0.7500 0.7500 0.7500

Properties
DFT formation energy (eV per atom): -0.062


# 3
A plane-wave DFT calculation with PBE-GGA was carried out for a relaxed structure of ErLuTh.

Cell: 7.8157 7.8157 7.8157 Å, 153.81 153.81 37.38°
Atoms (fractional coordinates):
Er 0.0000 0.0000 0.0000
Lu 0.6736 0.6736 0.0000
Th 0.3358 0.3358 0.0000

Properties
DFT formation energy (eV per atom): 0.024
E above lowest polymorph (kJ/mol of formula units): 1


# 4
A plane-wave DFT calculation with PBE-GGA was carried out for a relaxed structure of PaGeRh.

Cell: 4.4079 4.4079 3.4190 Å, 90.00 90.00 120.00°
Atoms (fractional coordinates):
Pa 0.0000 0.0000 0.0000
Ge 0.6667 0.3333 0.5000
Rh 0.3333 0.6667 0.5000

Properties
DFT formation energy (eV per atom): -0.830


# 5
A plane-wave DFT calculation with PBE-GGA was carried out for a relaxed structure of AlCoAu2.

Cell: 3.9749 3.9749 3.8162 Å, 90.00 90.00 90.00°
Atoms (fractional coordinates):
Al 0.0000 0.0000 0.0000
Co 0.5000 0.5000 0.0000
Au 0.0000 0.5000 0.5000
Au 0.5000 0.0000 0.5000

Properties
DFT formation energy (eV per atom): -0.124


# 6
A plane-wave DFT calculation with PBE-GGA was carried out for a relaxed structure of HoPuSnAu.

Cell: 5.2414 5.2414 5.2414 Å, 60.00 60.00 60.00°
Atoms (fractional coordinates):
Ho 0.0000 0.0000 0.0000
Pu 0.5000 0.5000 0.5000
Sn 0.7500 0.7500 0.7500
Au 0.2500 0.2500 0.2500

Properties
DFT formation energy (eV per atom): -0.524


Number 1: energy -3.851 eV per atom. Number 2: energy -5.248 eV per atom. Number 3: energy -5.477 eV per atom. Number 4: energy -7.985 eV per atom. Number 5: energy -4.475 eV per atom. Number 6: energy -7.072 eV per atom.